# GaRuI2, relaxed, DFT GGA-PBE
data_GaRuI2
_symmetry_space_group_name_H-M 'F m -3 m'
_symmetry_Int_Tables_number 225
_symmetry_space_group_name_Hall '-F 4 2 3'
_cell_length_a 7.403
_cell_length_b 7.403
_cell_length_c 7.403
_cell_angle_alpha 90.00
_cell_angle_beta 90.00
_cell_angle_gamma 90.00
loop_
_atom_site_label
_atom_site_type_symbol
_atom_site_fract_x
_atom_site_fract_y
_atom_site_fract_z
Ga1 Ga 0.000 0.000 0.000
Ru1 Ru 0.000 0.000 0.500
I1 I 0.250 0.250 0.250
# Calculated total energy in eV per formula unit: -12.84
# Uncorrected formation energy in eV/atom: 0.641
# N(E_F) in states/eV/f.u.: 0.000
# Energy above the most stable polymorph in this dataset in eV per atom: 0.176
# Magnetic moment in Bohr magnetons per cell: 12.00